#i
# Ca2PPt

A relaxed structure of Ca2PPt (PBEsol, the Alexandria database).

a = 4.067 Å, b = 4.067 Å, c = 5.788 Å
α = 90.00°, β = 90.00°, γ = 90.00°
Each line ends with the local moment (μB).
Fractional coordinates of all 4 atoms:
Ca: 0.000 0.000 0.500  0.01
Ca: 0.500 0.500 0.000  0.01
P: 0.000 0.000 0.000  0.15
Pt: 0.500 0.500 0.500  0.09

Results
spin magnetization: 0.11 μB/atom
space-group type: P4/mmm (123)


#ii
# Ca2PPt

A relaxed structure of Ca2PPt (PBEsol, the Alexandria database).

a = 3.191 Å, b = 5.042 Å, c = 5.047 Å
α = 90.00°, β = 90.00°, γ = 90.00°
Fractional coordinates of all 4 atoms:
Ca: 0.000 0.000 0.118
Ca: 0.000 0.500 0.631
P: 0.500 0.000 0.615
Pt: 0.500 0.500 0.136

Results
spin magnetization: 0.00 μB/atom
space-group type: Pmm2 (25)


Which of them is the least stable? Correct choice: #i.


#i
# CaP2Pt

A relaxed structure of CaP2Pt (PBEsol, the Alexandria database).

a = 4.010 Å, b = 3.737 Å, c = 6.242 Å
α = 90.00°, β = 90.00°, γ = 122.45°
Fractional coordinates of all 4 atoms:
Ca: 0.500 0.000 0.000
P: 0.000 0.000 0.698
P: 0.000 0.000 0.302
Pt: 0.500 0.000 0.500

Results
spin magnetization: 0.00 μB/atom
space-group type: Cmmm (65)


#ii
# CaP2Pt

A relaxed structure of CaP2Pt (PBEsol, the Alexandria database).

a = 3.806 Å, b = 6.005 Å, c = 6.858 Å
α = 90.00°, β = 90.00°, γ = 108.48°
Fractional coordinates of all 8 atoms:
P: 0.593 0.186 0.956
P: 0.407 0.814 0.456
P: 0.593 0.186 0.544
P: 0.407 0.814 0.044
Ca: 0.836 0.672 0.750
Ca: 0.164 0.328 0.250
Pt: 0.108 0.216 0.750
Pt: 0.892 0.784 0.250

Results
spin magnetization: 0.00 μB/atom
space-group type: Cmcm (63)


Which of them is the least stable? Correct choice: #i.


#i
# CaReP2

A relaxed structure of CaReP2 (PBEsol, the Alexandria database).

a = 3.123 Å, b = 3.278 Å, c = 7.086 Å
α = 103.38°, β = 102.73°, γ = 90.00°
Fractional coordinates of all 4 atoms:
Ca: 0.197 0.697 0.395
P: 0.028 0.028 0.057
P: 0.821 0.321 0.642
Re: 0.453 0.453 0.906

Results
spin magnetization: 0.00 μB/atom
space-group type: Imm2 (44)


#ii
# CaReP2

A relaxed structure of CaReP2 (PBEsol, the Alexandria database).

a = 3.151 Å, b = 4.526 Å, c = 4.526 Å
α = 98.70°, β = 97.40°, γ = 97.40°
Fractional coordinates of all 4 atoms:
Ca: 0.500 0.000 0.000
P: 0.000 0.000 0.500
P: 0.000 0.500 0.000
Re: 0.500 0.500 0.500

Results
spin magnetization: 0.00 μB/atom
space-group type: C2/m (12)


#iii
# CaReP2

A relaxed structure of CaReP2 (PBEsol, the Alexandria database).

a = 4.262 Å, b = 4.415 Å, c = 4.415 Å
α = 62.67°, β = 61.14°, γ = 61.14°
Fractional coordinates of all 4 atoms:
Ca: 0.500 0.000 0.000
P: 0.263 0.737 0.737
P: 0.737 0.263 0.263
Re: 0.000 0.500 0.500

Results
spin magnetization: 0.00 μB/atom
space-group type: Immm (71)


Which of them is the least stable? Correct choice: #ii.


#i
# Sr3CaP

A relaxed structure of Sr3CaP (PBEsol, the Alexandria database).

a = 5.956 Å, b = 5.956 Å, c = 5.956 Å
α = 90.00°, β = 90.00°, γ = 90.00°
Fractional coordinates of all 5 atoms:
Sr: 0.000 0.500 0.000
Sr: 0.000 0.000 0.500
Sr: 0.500 0.000 0.000
Ca: 0.500 0.500 0.500
P: 0.000 0.000 0.000

Results
spin magnetization: 0.11 μB/atom
space-group type: Pm-3m (221)


#ii
# Sr3CaP

A relaxed structure of Sr3CaP (PBEsol, the Alexandria database).

a = 6.127 Å, b = 6.127 Å, c = 6.127 Å
α = 90.00°, β = 90.00°, γ = 90.00°
Each line ends with the local moment (μB).
Fractional coordinates of all 5 atoms:
Sr: 0.000 0.500 0.000  0.18
Sr: 0.000 0.000 0.500  0.18
Sr: 0.500 0.000 0.000  0.18
Ca: 0.000 0.000 0.000  0.42
P: 0.500 0.500 0.500  -0.10

Results
spin magnetization: 0.57 μB/atom
space-group type: Pm-3m (221)


Which of them is the least stable? Correct choice: #ii.


#i
# Ca2TeP

A relaxed structure of Ca2TeP (PBEsol, the Alexandria database).

a = 3.825 Å, b = 5.096 Å, c = 5.096 Å
α = 97.15°, β = 90.08°, γ = 90.08°
Fractional coordinates of all 4 atoms:
Ca: 0.000 0.000 0.500
Ca: 0.000 0.500 0.000
P: 0.500 0.500 0.500
Te: 0.500 0.000 0.000

Results
spin magnetization: 0.00 μB/atom
space-group type: C2/m (12)


#ii
# Ca2TeP

A relaxed structure of Ca2TeP (PBEsol, the Alexandria database).

a = 4.230 Å, b = 4.230 Å, c = 6.310 Å
α = 109.58°, β = 109.58°, γ = 90.00°
Fractional coordinates of all 4 atoms:
Ca: 0.000 0.000 0.000
Ca: 0.750 0.250 0.500
P: 0.500 0.500 0.000
Te: 0.250 0.750 0.500

Results
spin magnetization: 0.00 μB/atom
space-group type: I-4m2 (119)


#iii
# Ca2TeP

A relaxed structure of Ca2TeP (PBEsol, the Alexandria database).

a = 6.575 Å, b = 6.575 Å, c = 6.575 Å
α = 106.30°, β = 106.30°, γ = 116.02°
Fractional coordinates of all 8 atoms:
P: 0.500 0.500 0.000
P: 0.750 0.250 0.500
Ca: 0.840 0.875 0.465
Ca: 0.410 0.375 0.535
Ca: 0.125 0.590 0.965
Ca: 0.625 0.160 0.035
Te: 0.000 0.000 0.000
Te: 0.250 0.750 0.500

Results
spin magnetization: 0.00 μB/atom
space-group type: I-42d (122)


Which of them is the least stable? Correct choice: #ii.


#i
# Ca3PW

A relaxed structure of Ca3PW (PBEsol, the Alexandria database).

a = 5.368 Å, b = 5.368 Å, c = 5.368 Å
α = 90.00°, β = 90.00°, γ = 90.00°
Each line ends with the local moment (μB).
Fractional coordinates of all 5 atoms:
P: 0.000 0.000 0.000  0.05
Ca: 0.000 0.500 0.000  0.05
Ca: 0.000 0.000 0.500  0.05
Ca: 0.500 0.000 0.000  0.05
W: 0.500 0.500 0.500  3.05

Results
spin magnetization: 1.04 μB/atom
space-group type: Pm-3m (221)


#ii
# Ca3PW

A relaxed structure of Ca3PW (PBEsol, the Alexandria database).

a = 5.263 Å, b = 5.263 Å, c = 5.263 Å
α = 90.00°, β = 90.00°, γ = 90.00°
Fractional coordinates of all 5 atoms:
P: 0.500 0.500 0.500
Ca: 0.000 0.500 0.000
Ca: 0.000 0.000 0.500
Ca: 0.500 0.000 0.000
W: 0.000 0.000 0.000

Results
spin magnetization: 0.00 μB/atom
space-group type: Pm-3m (221)


Which of them is the least stable? Correct choice: #ii.


#i
# Ca2ZnP

A relaxed structure of Ca2ZnP (PBEsol, the Alexandria database).

a = 4.974 Å, b = 4.974 Å, c = 4.974 Å
α = 60.00°, β = 60.00°, γ = 60.00°
Fractional coordinates of all 4 atoms:
Ca: 0.750 0.750 0.750
Ca: 0.250 0.250 0.250
P: 0.000 0.000 0.000
Zn: 0.500 0.500 0.500

Results
spin magnetization: 0.00 μB/atom
space-group type: Fm-3m (225)


#ii
# Ca2ZnP

A relaxed structure of Ca2ZnP (PBEsol, the Alexandria database).

a = 4.014 Å, b = 4.186 Å, c = 5.790 Å
α = 111.19°, β = 90.00°, γ = 90.00°
Fractional coordinates of all 4 atoms:
P: 0.000 0.824 0.648
Zn: 0.500 0.680 0.360
Ca: 0.000 0.108 0.216
Ca: 0.500 0.389 0.778

Results
spin magnetization: 0.00 μB/atom
space-group type: Amm2 (38)


#iii
# Ca2ZnP

A relaxed structure of Ca2ZnP (PBEsol, the Alexandria database).

a = 4.248 Å, b = 4.248 Å, c = 7.176 Å
α = 72.78°, β = 72.78°, γ = 60.00°
Fractional coordinates of all 4 atoms:
Ca: 0.236 0.236 0.293
Ca: 0.764 0.764 0.707
P: 0.500 0.500 0.500
Zn: 0.000 0.000 0.000

Results
spin magnetization: 0.00 μB/atom
space-group type: R-3m (166)


Which of them is the least stable? Correct choice: #i.


#i
# Ca5Pb3

A relaxed structure of Ca5Pb3 (PBEsol, the Alexandria database).

a = 6.755 Å, b = 9.332 Å, c = 9.332 Å
α = 120.00°, β = 90.00°, γ = 90.00°
Fractional coordinates of all 16 atoms:
Ca: 0.000 0.667 0.333
Ca: 0.000 0.333 0.667
Ca: 0.500 0.333 0.667
Ca: 0.500 0.667 0.333
Ca: 0.250 0.267 0.267
Ca: 0.250 0.000 0.733
Ca: 0.250 0.733 0.000
Ca: 0.750 0.733 0.733
Ca: 0.750 0.000 0.267
Ca: 0.750 0.267 0.000
Pb: 0.250 0.613 0.613
Pb: 0.250 0.000 0.387
Pb: 0.250 0.387 0.000
Pb: 0.750 0.387 0.387
Pb: 0.750 0.000 0.613
Pb: 0.750 0.613 0.000

Results
spin magnetization: 0.00 μB/atom
space-group type: P6_3/mcm (193)


#ii
# Ca5Pb3

A relaxed structure of Ca5Pb3 (PBEsol, the Alexandria database).

a = 6.783 Å, b = 16.145 Å, c = 16.145 Å
α = 120.00°, β = 90.00°, γ = 90.00°
Fractional coordinates of all 48 atoms:
Ca: 0.239 0.754 0.508
Ca: 0.278 0.090 0.910
Ca: 0.488 0.332 0.991
Ca: 0.710 0.576 0.151
Ca: 0.739 0.246 0.754
Ca: 0.210 0.424 0.576
Ca: 0.710 0.849 0.424
Ca: 0.988 0.341 0.332
Ca: 0.239 0.492 0.246
Ca: 0.278 0.821 0.910
Ca: 0.739 0.508 0.754
Ca: 0.710 0.576 0.424
Ca: 0.988 0.668 0.659
Ca: 0.488 0.659 0.991
Ca: 0.488 0.009 0.341
Ca: 0.988 0.341 0.009
Ca: 0.210 0.151 0.576
Ca: 0.488 0.659 0.668
Ca: 0.210 0.424 0.849
Ca: 0.278 0.090 0.179
Ca: 0.988 0.668 0.009
Ca: 0.488 0.009 0.668
Ca: 0.778 0.910 0.090
Ca: 0.239 0.754 0.246
Ca: 0.988 0.991 0.332
Ca: 0.778 0.179 0.090
Ca: 0.488 0.332 0.341
Ca: 0.739 0.246 0.492
Ca: 0.778 0.910 0.821
Ca: 0.988 0.991 0.659
Pb: 0.223 0.541 0.081
Pb: 0.798 0.130 0.870
Pb: 0.298 0.260 0.130
Pb: 0.298 0.870 0.130
Pb: 0.200 0.595 0.798
Pb: 0.798 0.130 0.260
Pb: 0.798 0.740 0.870
Pb: 0.200 0.202 0.798
Pb: 0.223 0.541 0.459
Pb: 0.700 0.798 0.202
Pb: 0.723 0.459 0.919
Pb: 0.298 0.870 0.740
Pb: 0.200 0.202 0.405
Pb: 0.700 0.405 0.202
Pb: 0.700 0.798 0.595
Pb: 0.723 0.459 0.541
Pb: 0.223 0.919 0.459
Pb: 0.723 0.081 0.541

Results
spin magnetization: 0.00 μB/atom
space-group type: P6_3mc (186)


Which of them is the least stable? Correct choice: #i.